Entry 1:
DFT (PBE) results for a relaxed structure of ScCoHg2Br6.

Summary:
Its total moment is 3.52 μB per formula unit. The total energy comes out at -120.07 eV/cell.

abc: 10.355 10.355 10.355
angles: 90.00 90.00 90.00
Space group Fm-3m (No. 225)
Unique sites:
Sc1 0.000 0.000 0.000
Co1 0.000 0.000 0.500
Hg1 0.250 0.250 0.250
Br1 0.000 0.000 0.257

***

Entry 2:
DFT (PBE) results for a relaxed structure of Co2PdI4Br4.

Summary:
Its total moment is 8.00 μB per formula unit. The total energy comes out at -68.39 eV/cell.

abc: 13.519 9.040 7.286
angles: 90.00 94.89 90.00
Space group C2/m (No. 12)
Unique sites:
Co1 0.212 0.000 0.357
Pd1 0.000 0.000 0.000
I1 0.112 0.203 0.173
Br1 0.127 0.500 0.704
Br2 0.182 0.000 0.660

***

Entry 3:
DFT (PBE) results for a relaxed structure of K2CoNiBr6.

Summary:
Its total moment is 1.06 μB per formula unit. The total energy comes out at -132.15 eV/cell.

abc: 10.225 10.225 10.225
angles: 90.00 90.00 90.00
Space group Fm-3m (No. 225)
Unique sites:
K1 0.250 0.250 0.250
Co1 0.000 0.000 0.000
Ni1 0.000 0.000 0.500
Br1 0.000 0.000 0.250